(1)
The following is a DFT calculation (PBE-GGA) of an optimized crystal structure of Y2AsPb.

As for the calculated total energy: -6.0183 eV/atom. Its density of states at the Fermi level is 7.554 states/eV per cell. The calculation puts the formation energy at -697 meV/atom. Its distance to the lowest polymorph of the same formula is 0.319 eV/atom.

The space group is I-42d (No. 122) and the conventional cell measures 7.990, 7.990 and 7.038 Å, with angles of 90.00, 90.00 and 90.00 degrees. The distinct sites, in fractional coordinates, are Y at (0.221, 0.250, 0.125), As at (0.000, 0.000, 0.000) and Pb at (0.000, 0.000, 0.500).

---

(2)
The following is a DFT calculation (PBE-GGA) of an optimized crystal structure of Cs2CdFeP.

As for the calculated total energy: -2.7006 eV/atom. Its density of states at the Fermi level is 5.819 states/eV per cell. The calculation puts the formation energy at 598 meV/atom.

The space group is P4/mmm (No. 123) and the conventional cell measures 7.164, 7.164 and 4.831 Å, with angles of 90.00, 90.00 and 90.00 degrees. The distinct sites, in fractional coordinates, are Cs at (0.000, 0.500, 0.000), Cd at (0.000, 0.000, 0.500), Fe at (0.500, 0.500, 0.500) and P at (0.000, 0.000, 0.000).

---

(3)
The following is a DFT calculation (PBE-GGA) of an optimized crystal structure of HoThPt2.

As for the calculated total energy: -7.2451 eV/atom. Its density of states at the Fermi level is 5.723 states/eV per cell. The calculation puts the formation energy at -1225 meV/atom. Its distance to the lowest polymorph of the same formula is 0.000 eV/atom.

The space group is R-3m (No. 166, hexagonal axes) and the conventional cell measures 4.1285, 4.1285 and 20.1957 Å, with angles of 90.00, 90.00 and 120.00 degrees. The distinct sites, in fractional coordinates, are Ho at (0.0000, 0.0000, 0.0000), Th at (0.0000, 0.0000, 0.5000) and Pt at (0.0000, 0.0000, 0.2512).

---

(4)
The following is a DFT calculation (PBE-GGA) of an optimized crystal structure of Rb2BCl6.

As for the calculated total energy: -3.1133 eV/atom. Its density of states at the Fermi level is 22.124 states/eV per cell. Its energy relative to the elements, uncorrected is -0.93 eV per atom.

The space group is I4/mmm (No. 139) and the conventional cell measures 7.045, 7.045 and 9.983 Å, with angles of 90.00, 90.00 and 90.00 degrees. The distinct sites, in fractional coordinates, are Rb at (0.000, 0.500, 0.250), B at (0.000, 0.000, 0.000), Cl at (0.000, 0.000, 0.214) and Cl at (0.214, 0.214, 0.000).

---

(5)
The following is a DFT calculation (PBE-GGA) of an optimized crystal structure of ReAsC3.

As for the calculated total energy: -5.9915 eV/atom. Its density of states at the Fermi level is 5.187 states/eV per cell. The calculation puts the formation energy at 2962 meV/atom. Its distance to the lowest polymorph of the same formula is 0.937 eV/atom.

The space group is Pm-3m (No. 221) and the conventional cell measures 3.830, 3.830 and 3.830 Å, with angles of 90.00, 90.00 and 90.00 degrees. The distinct sites, in fractional coordinates, are Re at (0.000, 0.000, 0.000), As at (0.500, 0.500, 0.500) and C at (0.000, 0.500, 0.500).

---

(6)
The following is a DFT calculation (PBE-GGA) of an optimized crystal structure of SrAg2Pb2.

As for the calculated total energy: -3.0215 eV/atom. Its density of states at the Fermi level is 6.810 states/eV per cell. The calculation puts the formation energy at -61 meV/atom.

The space group is P4/mbm (No. 127) and the conventional cell measures 8.775, 8.775 and 3.563 Å, with angles of 90.00, 90.00 and 90.00 degrees. The distinct sites, in fractional coordinates, are Sr at (0.000, 0.000, 0.000), Ag at (0.157, 0.343, 0.500) and Pb at (0.137, 0.637, 0.000).

---

(7)
The following is a DFT calculation (PBE-GGA) of an optimized crystal structure of La2GaCoN.

As for the calculated total energy: -6.3771 eV/atom. Its density of states at the Fermi level is 7.959 states/eV per cell. Its distance to the lowest polymorph of the same formula is 0.000 eV/atom. Its energy relative to the elements, uncorrected is -0.71 eV per atom.

The space group is P4/nmm (No. 129, origin choice 2) and the conventional cell measures 4.053, 4.053 and 12.316 Å, with angles of 90.00, 90.00 and 90.00 degrees. The distinct sites, in fractional coordinates, are La at (0.250, 0.250, 0.094), La at (0.250, 0.250, 0.694), Ga at (0.250, 0.250, 0.398), Co at (0.250, 0.750, 0.500) and N at (0.250, 0.250, 0.907).

---

(8)
The following is a DFT calculation (PBE-GGA) of an optimized crystal structure of In2GePd.

As for the calculated total energy: -3.6265 eV/atom. Its density of states at the Fermi level is 9.678 states/eV per cell. The calculation puts the formation energy at 195 meV/atom.

The space group is R-3m (No. 166, hexagonal axes) and the conventional cell measures 3.1024, 3.1024 and 31.8092 Å, with angles of 90.00, 90.00 and 120.00 degrees. The distinct sites, in fractional coordinates, are In at (0.0000, 0.0000, 0.0834), Ge at (0.0000, 0.0000, 0.5000) and Pd at (0.0000, 0.0000, 0.0000).

---

(9)
The following is a DFT calculation (PBE-GGA) of an optimized crystal structure of BiW3C.

As for the calculated total energy: -9.6376 eV/atom. Its density of states at the Fermi level is 3.577 states/eV per cell. The calculation puts the formation energy at 755 meV/atom. Its distance to the lowest polymorph of the same formula is 0.000 eV/atom.

The space group is Pm-3m (No. 221) and the conventional cell measures 4.289, 4.289 and 4.289 Å, with angles of 90.00, 90.00 and 90.00 degrees. The distinct sites, in fractional coordinates, are Bi at (0.000, 0.000, 0.000), W at (0.000, 0.500, 0.500) and C at (0.500, 0.500, 0.500).

---

(10)
The following is a DFT calculation (PBE-GGA) of an optimized crystal structure of La2ZrGa.

As for the calculated total energy: -5.2333 eV/atom. Its density of states at the Fermi level is 15.947 states/eV per cell. The calculation puts the formation energy at 124 meV/atom.

The space group is I-42d (No. 122) and the conventional cell measures 8.743, 8.743 and 5.958 Å, with angles of 90.00, 90.00 and 90.00 degrees. The distinct sites, in fractional coordinates, are La at (0.214, 0.250, 0.125), Zr at (0.000, 0.000, 0.500) and Ga at (0.000, 0.000, 0.000).

---

(11)
The following is a DFT calculation (PBE-GGA) of an optimized crystal structure of OsSe2Cl.

As for the calculated total energy: -4.5838 eV/atom. Its density of states at the Fermi level is 2.375 states/eV per cell. Its distance to the lowest polymorph of the same formula is 0.436 eV/atom. Its energy relative to the elements, uncorrected is 0.43 eV per atom.

The space group is P4mm (No. 99) and the conventional cell measures 2.970, 2.970 and 10.401 Å, with angles of 90.00, 90.00 and 90.00 degrees. The distinct sites, in fractional coordinates, are Os at (0.000, 0.000, 0.000), Se at (0.000, 0.000, 0.447), Se at (0.500, 0.500, 0.135) and Cl at (0.500, 0.500, 0.827).

---

(12)
The following is a DFT calculation (PBE-GGA) of an optimized crystal structure of Ce2Ni3P4Pd.

As for the calculated total energy: -6.6031 eV/atom. Its density of states at the Fermi level is 9.947 states/eV per cell. The calculation puts the formation energy at -999 meV/atom.

The space group is P-4m2 (No. 115) and the conventional cell measures 4.114, 4.114 and 9.146 Å, with angles of 90.00, 90.00 and 90.00 degrees. The distinct sites, in fractional coordinates, are Ce at (0.000, 0.500, 0.241), Ni at (0.000, 0.500, 0.891), Ni at (0.500, 0.500, 0.500), P at (0.000, 0.000, 0.000), P at (0.000, 0.500, 0.642), P at (0.500, 0.500, 0.000) and Pd at (0.000, 0.000, 0.500).